GaPdPt | GGA-PBE | relaxed

Its formation enthalpy at 0 K is -0.48 eV/atom. Its polymorph energy (0 for the lowest one) is 135.9 meV per atom.

a b c (Å): 4.2723 4.2723 2.9317
angles (deg): 90.00 90.00 120.00
Space group P3m1 (No. 156)
One atom of each set of equivalent atoms:
1 Ga 0.0000 0.0000 0.0000 (multiplicity 1)
2 Pd 0.3333 0.6667 0.3096 (multiplicity 1)
3 Pt 0.6667 0.3333 0.7636 (multiplicity 1)

LaPr5Sm2Er | GGA-PBE | relaxed

Its formation enthalpy at 0 K is 0.27 eV/atom.

a b c (Å): 9.124 9.124 15.480
angles (deg): 90.00 90.00 90.00
Space group I4/mcm (No. 140)
One atom of each set of equivalent atoms:
1 La 0.000 0.000 0.250 (multiplicity 4)
2 Pr 0.000 0.000 0.000 (multiplicity 4)
3 Pr 0.207 0.293 0.137 (multiplicity 16)
4 Sm 0.114 0.386 0.500 (multiplicity 8)
5 Er 0.000 0.500 0.250 (multiplicity 4)

BaZnCl | GGA-PBE | relaxed

Its polymorph energy (0 for the lowest one) is 77.2 meV per atom. The uncorrected formation energy is -2.6 eV/f.u.

a b c (Å): 4.6809 4.6809 6.8909
angles (deg): 90.00 90.00 120.00
Space group P3m1 (No. 156)
One atom of each set of equivalent atoms:
1 Ba 0.0000 0.0000 0.0000 (multiplicity 1)
2 Zn 0.3333 0.6667 0.6839 (multiplicity 1)
3 Cl 0.6667 0.3333 0.2106 (multiplicity 1)

NaY2Bi | GGA-PBE | relaxed

Its formation enthalpy at 0 K is 0.01 eV/atom.

a b c (Å): 8.730 8.730 6.907
angles (deg): 90.00 90.00 90.00
Space group I-42d (No. 122)
One atom of each set of equivalent atoms:
1 Na 0.000 0.000 0.000 (multiplicity 4)
2 Y 0.229 0.250 0.625 (multiplicity 8)
3 Bi 0.000 0.000 0.500 (multiplicity 4)

La2PmNdSm5 | GGA-PBE | relaxed

Its formation enthalpy at 0 K is 0.23 eV/atom.

a b c (Å): 8.779 8.779 16.221
angles (deg): 90.00 90.00 90.00
Space group I4/mcm (No. 140)
One atom of each set of equivalent atoms:
1 La 0.119 0.381 0.000 (multiplicity 8)
2 Pm 0.000 0.000 0.250 (multiplicity 4)
3 Nd 0.000 0.500 0.250 (multiplicity 4)
4 Sm 0.000 0.000 0.000 (multiplicity 4)
5 Sm 0.213 0.287 0.359 (multiplicity 16)

Pa3NiGe | GGA-PBE | relaxed

Its formation enthalpy at 0 K is -0.18 eV/atom.

a b c (Å): 6.7733 6.7733 5.4992
angles (deg): 90.00 90.00 120.00
Space group P6_3/mmc (No. 194)
One atom of each set of equivalent atoms:
1 Pa 0.1980 0.3960 0.2500 (multiplicity 6)
2 Ni 0.0000 0.0000 0.0000 (multiplicity 2)
3 Ge 0.3333 0.6667 0.7500 (multiplicity 2)

Pm2Ni2Au | GGA-PBE | relaxed

Its formation enthalpy at 0 K is -0.54 eV/atom. Its polymorph energy (0 for the lowest one) is 0.0 meV per atom.

a b c (Å): 3.935 13.892 3.769
angles (deg): 90.00 90.00 90.00
Space group Cmmm (No. 65)
One atom of each set of equivalent atoms:
1 Pm 0.000 0.131 0.000 (multiplicity 4)
2 Ni 0.000 0.301 0.500 (multiplicity 4)
3 Au 0.000 0.500 0.500 (multiplicity 2)

Sr2TmGe3Pt4 | GGA-PBE | relaxed

Its formation enthalpy at 0 K is -0.89 eV/atom.

a b c (Å): 4.417 4.417 10.935
angles (deg): 90.00 90.00 90.00
Space group P-4m2 (No. 115)
One atom of each set of equivalent atoms:
1 Sr 0.000 0.500 0.233 (multiplicity 2)
2 Tm 0.000 0.000 0.500 (multiplicity 1)
3 Ge 0.000 0.500 0.881 (multiplicity 2)
4 Ge 0.500 0.500 0.500 (multiplicity 1)
5 Pt 0.000 0.000 0.000 (multiplicity 1)
6 Pt 0.000 0.500 0.652 (multiplicity 2)
7 Pt 0.500 0.500 0.000 (multiplicity 1)

YCoBr2 | GGA-PBE | relaxed

Its polymorph energy (0 for the lowest one) is 414.7 meV per atom. The uncorrected formation energy is -1.3 eV/f.u.

a b c (Å): 3.559 3.796 6.417
angles (deg): 90.00 103.34 90.00
Space group P2/m (No. 10)
One atom of each set of equivalent atoms:
1 Y 0.000 0.000 0.000 (multiplicity 1)
2 Co 0.500 0.000 0.500 (multiplicity 1)
3 Br 0.425 0.500 0.741 (multiplicity 2)

CdGaI2O | GGA-PBE | relaxed

Its polymorph energy (0 for the lowest one) is 267.7 meV per atom. The uncorrected formation energy is -0.8 eV/f.u.

a b c (Å): 6.062 6.062 4.218
angles (deg): 90.00 90.00 90.00
Space group P4/mmm (No. 123)
One atom of each set of equivalent atoms:
1 Cd 0.000 0.000 0.000 (multiplicity 1)
2 Ga 0.500 0.500 0.500 (multiplicity 1)
3 I 0.000 0.500 0.000 (multiplicity 2)
4 O 0.000 0.000 0.500 (multiplicity 1)

MgCo2RhN | GGA-PBE | relaxed

Its polymorph energy (0 for the lowest one) is 61.9 meV per atom. The uncorrected formation energy is -0.4 eV/f.u.

a b c (Å): 3.721 3.721 4.237
angles (deg): 90.00 90.00 90.00
Space group P4/mmm (No. 123)
One atom of each set of equivalent atoms:
1 Mg 0.000 0.000 0.000 (multiplicity 1)
2 Co 0.000 0.500 0.500 (multiplicity 2)
3 Rh 0.500 0.500 0.000 (multiplicity 1)
4 N 0.000 0.000 0.500 (multiplicity 1)

CeYPa2As4 | GGA-PBE | relaxed

Its formation enthalpy at 0 K is -1.26 eV/atom.

a b c (Å): 7.149 4.126 7.157
angles (deg): 90.00 109.43 90.00
Space group P2/m (No. 10)
One atom of each set of equivalent atoms:
1 Ce 0.000 0.000 0.000 (multiplicity 1)
2 Y 0.500 0.500 0.000 (multiplicity 1)
3 Pa 0.000 0.500 0.500 (multiplicity 1)
4 Pa 0.500 0.000 0.500 (multiplicity 1)
5 As 0.251 0.000 0.745 (multiplicity 2)
6 As 0.255 0.500 0.256 (multiplicity 2)

Number 1: N(E_F) 1.4 states/eV/f.u., total moment 0.00 μB/atom. Number 2: N(E_F) 15.0 states/eV/f.u., total moment 0.00 μB/atom. Number 3: N(E_F) 2.3 states/eV/f.u., total moment 0.23 μB/atom. Number 4: N(E_F) 5.0 states/eV/f.u., total moment 0.00 μB/atom. Number 5: N(E_F) 13.8 states/eV/f.u., total moment 0.00 μB/atom. Number 6: N(E_F) 6.9 states/eV/f.u., total moment 0.00 μB/atom. Number 7: N(E_F) 4.4 states/eV/f.u., total moment 0.00 μB/atom. Number 8: N(E_F) 4.5 states/eV/f.u., total moment 0.00 μB/atom. Number 9: N(E_F) 2.1 states/eV/f.u., total moment 0.33 μB/atom. Number 10: N(E_F) 6.6 states/eV/f.u., total moment 0.20 μB/atom. Number 11: N(E_F) 5.8 states/eV/f.u., total moment 0.56 μB/atom. Number 12: N(E_F) 11.9 states/eV/f.u., total moment 0.12 μB/atom.